A plane-wave DFT calculation with PBE was carried out for an optimized crystal structure of Te2AsIrN.

The space group is P4/mmm (No. 123) and the conventional cell measures 5.475, 5.475 and 3.677 Å, with angles of 90.00, 90.00 and 90.00 degrees. Symmetry generates all atoms from Te at (0.000, 0.500, 0.000), As at (0.000, 0.000, 0.500), Ir at (0.500, 0.500, 0.000) and N at (0.500, 0.500, 0.500).

As for the density: 8.1 g/cm³. Its energy above the most stable polymorph in this dataset is 0 meV/atom. As for the final energy: -25.86 eV for the cell shown.